(1)
RbUSb2O8 | Alexandria | GGA-PBE | relaxed; symmetry = P-3m1; raw formation energy = -1825 meV/atom
1.0
-5.3765 -2.2964 1.3531
4.9925 -3.0120 1.4189
0.2088 3.6742 7.0652
O U Sb Rb
8 1 2 1
Cartesian
3.4611 0.1870 7.3330
-1.8173 -0.7254 4.8547
0.9336 1.7119 6.6147
-1.1087 -3.3461 3.2224
1.6422 -0.9089 4.9825
-0.9144 -0.6587 1.8191
-3.6362 -1.8213 2.5041
0.7392 -0.9755 8.0181
0.0000 0.0000 0.0000
-1.8658 -1.5790 3.2133
1.6907 -0.0552 6.6239
0.1044 1.8371 3.5326

***

(2)
LiCe2PrTl4 | Alexandria | GGA-PBE | relaxed; symmetry = R-3m; formation energy from the elements = -206 kJ/mol of formula units
1.0
-3.9469 -1.1185 3.4581
-3.2066 -4.2148 -0.8607
3.3088 -7.0856 5.6471
Tl Ce Pr Li
4 2 1 1
Cartesian
0.1573 -8.1483 5.8687
1.1358 -5.0597 3.8222
-4.0020 -4.2706 2.3757
-4.9805 -7.3592 4.4223
-0.8597 -3.1994 2.1464
-2.9850 -9.2195 6.0981
0.0000 0.0000 0.0000
-1.9224 -6.2095 4.1222

***

(3)
Sr8P | Alexandria | GGA-PBE | relaxed; symmetry = I4/mmm; formation energy from the elements = -104 kJ/mol of formula units
1.0
-7.1630 7.1630 2.1268
7.1630 -7.1630 2.1268
7.1630 7.1630 -2.1268
Sr P
8 1
Cartesian
0.0000 4.7976 0.0000
-1.8211 1.8211 2.1268
1.8211 -1.8211 2.1268
4.7976 0.0000 0.0000
9.5284 0.0000 0.0000
1.8211 1.8211 2.1268
5.3419 5.3419 0.0000
0.0000 9.5284 0.0000
0.0000 0.0000 0.0000

***

(4)
Tb2PrCd | Alexandria | GGA-PBE | relaxed; symmetry = Immm; formation energy from the elements = -57 kJ/mol of formula units; excess energy over the best structure of this formula in the dataset = 2 meV per atom
1.0
3.6500 0.0000 -1.1362
-0.7099 5.0283 -2.2807
0.0807 -0.0423 6.6900
Pr Tb Cd
1 2 1
Cartesian
-0.3550 2.5142 -1.1404
0.6940 1.1062 2.2295
2.3267 3.8798 1.0437
1.8250 0.0000 -0.5681

***

Which VASP energy belongs to each record? In order, -6.84 -3.77 -2.22 -3.89 eV per atom.